Density functional theory data (PBE) for Tb2TmTh after structural relaxation.

Structure (POSCAR):
```
Tb2TmTh
1.0
1.780 1.028 11.535
-1.780 1.028 11.535
0.000 -2.056 11.535
Tb Tm Th
2 1 1
direct
0.249 0.249 0.249
0.751 0.751 0.751
0.000 0.000 0.000
0.500 0.500 0.500
```

Values from the calculation:
**DFT formation energy**: 0.029 eV/atom
**Energy above the most stable polymorph in this dataset**: 0 kJ/mol of formula units
**Fermi-level density of states**: 6.1 states/eV/f.u.
**ρ**: 9426 kg/m³

Density functional theory data (PBE) for Tb4PmPr2Sm2 after structural relaxation.

Structure (POSCAR):
```
Tb4PmPr2Sm2
1.0
9.477 -1.827 0.000
9.477 1.827 0.000
-4.210 0.000 8.741
Tb Pm Pr Sm
4 1 2 2
direct
0.019 0.019 0.334
0.315 0.315 0.664
0.685 0.685 0.336
0.981 0.981 0.666
0.500 0.500 0.000
0.166 0.166 0.001
0.834 0.834 0.999
0.353 0.353 0.337
0.647 0.647 0.663
```

Values from the calculation:
**DFT formation energy**: 0.001 eV/atom
**Fermi-level density of states**: 12.1 states/eV/f.u.
**ρ**: 7480 kg/m³

Density functional theory data (PBE) for CsTcSb2Te after structural relaxation.

Structure (POSCAR):
```
CsTcSb2Te
1.0
6.162 0.000 0.000
0.000 6.162 0.000
0.000 0.000 6.226
Cs Tc Sb Te
1 1 2 1
direct
0.000 0.000 0.000
0.500 0.500 0.500
0.000 0.500 0.000
0.500 0.000 0.000
0.000 0.000 0.500
```

Values from the calculation:
**Energy above the most stable polymorph in this dataset**: 969 kJ/mol of formula units
**Fermi-level density of states**: 5.9 states/eV/f.u.
**ρ**: 4228 kg/m³